A relaxed structure of GaTc2NiH. Source: Alexandria via LeMat-Bulk, functional PBE.

Cell and atoms, written as POSCAR:
```
GaTc2NiH
1.0
3.867 0.000 0.000
0.000 3.867 0.000
0.000 0.000 3.825
Ga Tc Ni H
1 2 1 1
Direct
0.000 0.000 0.000
0.000 0.500 0.500
0.500 0.000 0.500
0.500 0.500 0.000
0.500 0.500 0.500
```

Values from the calculation:
Magnetization, μB/cell: 0.000
Energy, eV/atom: -6.53